[1]
# Zn2IrAu

A relaxed structure of Zn2IrAu (GGA-PBE, Alexandria).

Summary:
Total moment: 0.00 μB per formula unit
Energy of formation from the pure elements: -0.07 eV/atom
Space-group type: Cmmm, No. 65

Cell lengths 2.809, 2.809, 8.803 Å; angles 90.00, 90.00, 116.74 degrees
Atoms (fractional coordinates):
Zn 0.000 0.000 0.240
Zn 0.000 0.000 0.760
Ir 0.500 0.500 0.000
Au 0.500 0.500 0.500

[2]
# ZnIr2Au

A relaxed structure of ZnIr2Au (GGA-PBE, Alexandria).

Summary:
Total moment: 0.00 μB per formula unit
Energy of formation from the pure elements: 0.10 eV/atom
Space-group type: Cm, No. 8

Cell lengths 4.756, 4.756, 4.866 Å; angles 100.46, 100.46, 34.66 degrees
Atoms (fractional coordinates):
Zn 0.000 0.000 0.000
Ir 0.487 0.487 0.474
Ir 0.744 0.744 0.290
Au 0.247 0.247 0.786

[3]
# Zn2IrAu

A relaxed structure of Zn2IrAu (GGA-PBE, Alexandria).

Summary:
Total moment: 0.00 μB per formula unit
Energy of formation from the pure elements: -0.02 eV/atom
Space-group type: P4mm, No. 99

Cell lengths 3.234, 3.234, 5.850 Å; angles 90.00, 90.00, 90.00 degrees
Atoms (fractional coordinates):
Zn 0.000 0.000 0.000
Zn 0.500 0.500 0.254
Ir 0.500 0.500 0.797
Au 0.000 0.000 0.490